Below is crystalline LaSbS3 at its relaxed geometry, with properties calculated at the PBE level.

abc: 5.055 5.055 5.055
angles: 90.00 90.00 90.00
Positions (direct):
La: 0.000 0.000 0.000
Sb: 0.500 0.500 0.500
S: 0.000 0.500 0.500
S: 0.500 0.000 0.500
S: 0.500 0.500 0.000

Computed properties:
For the total moment, the calculation gives 0.0 μB/cell. Its polymorph energy (0 for the lowest one) is 43.7 kJ/mol of atoms.